1.
The following is a DFT calculation (PBE) of a geometry-optimized AcLaPmHo structure.

abc: 3.7612 3.7612 12.0380
angles: 90.00 90.00 120.00
With the nearest neighbours (Å) after each atom.
Fractional positions:
Ac 0.3333 0.6667 0.9211  3 Ho 3.72, 6 Ac 3.76, 3 Pm 3.79
La 0.0000 0.0000 0.4286  3 Ho 3.63, 3 Pm 3.70, 6 La 3.76
Pm 0.6667 0.3333 0.1796  3 La 3.70, 6 Pm 3.76, 3 Ac 3.79
Ho 0.6667 0.3333 0.6699  3 La 3.63, 3 Ac 3.72, 6 Ho 3.76

SG	P3m1 (156)
energy above the most stable polymorph in this dataset	0	meV/atom
formation energy	0.06	eV/atom
N(E_F)	5.3	states/eV/f.u.

***

2.
The following is a DFT calculation (PBE) of a geometry-optimized Ac5La2PmHo structure.

abc: 8.5143 8.5143 11.9137
angles: 110.94 110.94 90.00
With the nearest neighbours (Å) after each atom.
Fractional positions:
Ac 0.9099 0.4099 0.2800  1 La 3.39, 1 Ho 3.58, 2 Pm 3.77
Ac 0.6299 0.1299 0.7200  1 La 3.39, 1 Ho 3.58, 2 Pm 3.77
Ac 0.0901 0.5901 0.7200  1 La 3.39, 1 Ho 3.58, 2 Pm 3.77
Ac 0.1299 0.0901 0.7200  1 La 3.39, 1 Ho 3.58, 2 Pm 3.77
Ac 0.5901 0.6299 0.7200  1 La 3.39, 1 Ho 3.58, 2 Pm 3.77
Ac 0.8701 0.9099 0.2800  1 La 3.39, 1 Ho 3.58, 2 Pm 3.77
Ac 0.4099 0.3701 0.2800  1 La 3.39, 1 Ho 3.58, 2 Pm 3.77
Ac 0.3701 0.8701 0.2800  1 La 3.39, 1 Ho 3.58, 2 Pm 3.77
Ac 0.5000 0.5000 0.0000  4 La 3.39
Ac 0.0000 0.0000 0.0000  4 La 3.39
La 0.1213 0.3787 0.0000  1 La 2.92
La 0.6213 0.1213 0.0000  1 La 2.92
La 0.3787 0.8787 0.0000  1 La 2.92
La 0.8787 0.6213 0.0000  1 La 2.92
Pm 0.2500 0.2500 0.5000  8 Ac 3.77
Pm 0.7500 0.7500 0.5000  8 Ac 3.77
Ho 0.2500 0.7500 0.5000  8 Ac 3.58-3.96
Ho 0.7500 0.2500 0.5000  8 Ac 3.58-3.96

SG	I4/mcm (140)
formation energy	0.26	eV/atom
N(E_F)	14.3	states/eV/f.u.

***

3.
The following is a DFT calculation (PBE) of a geometry-optimized AcLa2PmHo5 structure.

abc: 8.8017 8.8017 10.1120
angles: 115.80 115.80 90.00
With the nearest neighbours (Å) after each atom.
Fractional positions:
Ac 0.2500 0.2500 0.5000  10 Ho 3.64-3.98
Ac 0.7500 0.7500 0.5000  10 Ho 3.64-3.98
La 0.1173 0.3827 0.0000  1 La 2.92, 2 Ho 3.05
La 0.6173 0.1173 0.0000  1 La 2.92, 2 Ho 3.05
La 0.3827 0.8827 0.0000  1 La 2.92, 2 Ho 3.05
La 0.8827 0.6173 0.0000  1 La 2.92, 2 Ho 3.05
Pm 0.2500 0.7500 0.5000  4 Ho 3.19
Pm 0.7500 0.2500 0.5000  4 Ho 3.19
Ho 0.9252 0.4252 0.2717  1 La 3.05, 1 Pm 3.19
Ho 0.6535 0.1535 0.7283  1 La 3.05, 1 Pm 3.19
Ho 0.0748 0.5748 0.7283  1 La 3.05, 1 Pm 3.19
Ho 0.1535 0.0748 0.7283  1 La 3.05, 1 Pm 3.19
Ho 0.5748 0.6535 0.7283  1 La 3.05, 1 Pm 3.19
Ho 0.8465 0.9252 0.2717  1 La 3.05, 1 Pm 3.19
Ho 0.4252 0.3465 0.2717  1 La 3.05, 1 Pm 3.19
Ho 0.3465 0.8465 0.2717  1 La 3.05, 1 Pm 3.19
Ho 0.5000 0.5000 0.0000  4 La 3.52, 8 Ho 3.82
Ho 0.0000 0.0000 0.0000  4 La 3.52, 8 Ho 3.82

SG	I4/mcm (140)
formation energy	0.24	eV/atom
N(E_F)	10.6	states/eV/f.u.

***

4.
The following is a DFT calculation (PBE) of a geometry-optimized Ac2LaPm4Ho structure.

abc: 10.3733 10.6603 7.5122
angles: 135.12 90.29 89.80
With the nearest neighbours (Å) after each atom.
Fractional positions:
Ac 0.5003 0.9998 0.9990  8 Pm 3.72-3.74, 2 Ac 3.76, 2 Ho 3.76
Ac 0.4994 0.0002 0.4994  4 Ac 3.76, 8 Pm 3.77-3.80
Ac 0.0006 0.9998 0.5004  8 Pm 3.71-3.73, 2 Ho 3.76, 2 La 3.76
Ac 0.4998 0.5002 0.0009  8 Pm 3.75-3.77, 2 Ho 3.75-3.76, 2 Ac 3.76
La 0.0001 0.4998 0.9991  8 Pm 3.68-3.71, 2 La 3.75-3.76, 2 Ac 3.76
La 0.9994 0.5000 0.4997  8 Pm 3.63-3.65, 2 La 3.75-3.76, 2 Ho 3.76
Pm 0.2465 0.7456 0.9878  2 La 3.64-3.71, 4 Pm 3.64-3.87, 2 Ho 3.67-3.70, 4 Ac 3.73-3.77
Pm 0.7547 0.2531 0.4965  2 La 3.65-3.68, 4 Pm 3.65-3.86, 2 Ho 3.66-3.70, 4 Ac 3.72-3.80
Pm 0.2450 0.7463 0.5037  4 Pm 3.64-3.87, 2 La 3.65-3.68, 2 Ho 3.67-3.71, 4 Ac 3.71-3.80
Pm 0.7537 0.2541 0.0112  2 La 3.63-3.71, 4 Pm 3.65-3.86, 2 Ho 3.68-3.70, 4 Ac 3.73-3.78
Pm 0.7537 0.7456 0.9888  2 La 3.64-3.69, 4 Pm 3.65-3.86, 2 Ho 3.68-3.69, 4 Ac 3.72-3.79
Pm 0.7548 0.7472 0.5038  2 La 3.64-3.70, 2 Ho 3.65-3.72, 4 Pm 3.65-3.86, 4 Ac 3.73-3.79
Pm 0.2453 0.2535 0.4961  4 Pm 3.64-3.87, 2 La 3.64-3.69, 2 Ho 3.65-3.72, 4 Ac 3.73-3.78
Pm 0.2462 0.2546 0.0125  4 Pm 3.64-3.87, 2 La 3.64-3.70, 2 Ho 3.69, 4 Ac 3.72-3.79
Ho 0.5004 0.4999 0.5004  8 Pm 3.68-3.72, 4 Ac 3.75-3.76
Ho 0.9998 0.0001 0.0006  8 Pm 3.65-3.69, 2 Ac 3.76, 2 La 3.76

SG	P1 (1)
formation energy	0.03	eV/atom
N(E_F)	12.4	states/eV/f.u.

***

5.
The following is a DFT calculation (PBE) of a geometry-optimized AcLaPm6Ho2 structure.

abc: 9.8601 9.0556 9.0556
angles: 117.53 93.26 93.26
With the nearest neighbours (Å) after each atom.
Fractional positions:
Ac 0.2500 0.9681 0.0319  4 Ho 3.52-3.58, 6 Pm 3.71-3.91
Ac 0.7500 0.0319 0.9681  4 Ho 3.52-3.58, 6 Pm 3.71-3.91
La 0.2500 0.4080 0.5920  6 Pm 3.52-3.68, 2 Ho 3.68
La 0.7500 0.5920 0.4080  6 Pm 3.52-3.68, 2 Ho 3.68
Pm 0.0559 0.1145 0.7505  5 Pm 3.47-3.77, 1 Ho 3.60, 1 Ac 3.84
Pm 0.4441 0.2495 0.8855  5 Pm 3.47-3.77, 1 Ho 3.60, 1 Ac 3.84
Pm 0.9441 0.8855 0.2495  5 Pm 3.47-3.77, 1 Ho 3.60, 1 Ac 3.84
Pm 0.5559 0.7505 0.1145  5 Pm 3.47-3.77, 1 Ho 3.60, 1 Ac 3.84
Pm 0.3230 0.9805 0.4443  3 Pm 3.28-3.67, 2 Ho 3.53-3.56, 1 La 3.60
Pm 0.1770 0.5557 0.0195  3 Pm 3.28-3.67, 2 Ho 3.53-3.56, 1 La 3.60
Pm 0.6770 0.0195 0.5557  3 Pm 3.28-3.67, 2 Ho 3.53-3.56, 1 La 3.60
Pm 0.8230 0.4443 0.9805  3 Pm 3.28-3.67, 2 Ho 3.53-3.56, 1 La 3.60
Pm 0.1205 0.7063 0.4892  4 Pm 3.28-3.68, 3 Ho 3.36-3.52, 2 La 3.52-3.68
Pm 0.3795 0.5108 0.2937  4 Pm 3.28-3.68, 3 Ho 3.36-3.52, 2 La 3.52-3.68
Pm 0.8795 0.2937 0.5108  4 Pm 3.28-3.68, 3 Ho 3.36-3.52, 2 La 3.52-3.68
Pm 0.6205 0.4892 0.7063  4 Pm 3.28-3.68, 3 Ho 3.36-3.52, 2 La 3.52-3.68
Ho 0.4527 0.8021 0.6939  6 Pm 3.36-3.60, 2 Ac 3.52-3.58, 1 La 3.68
Ho 0.0473 0.3061 0.1979  6 Pm 3.36-3.60, 2 Ac 3.52-3.58, 1 La 3.68
Ho 0.5473 0.1979 0.3061  6 Pm 3.36-3.60, 2 Ac 3.52-3.58, 1 La 3.68
Ho 0.9527 0.6939 0.8021  6 Pm 3.36-3.60, 2 Ac 3.52-3.58, 1 La 3.68

SG	C2/c (15)
formation energy	0.12	eV/atom
N(E_F)	14.3	states/eV/f.u.

***

6.
The following is a DFT calculation (PBE) of a geometry-optimized Ac2LaPmHo structure.

abc: 6.8576 8.8833 6.5220
angles: 90.01 90.00 90.00
With the nearest neighbours (Å) after each atom.
Fractional positions:
Ac 0.7140 0.7063 0.7502  1 La 3.30, 2 Ho 3.65, 1 Ac 3.67
Ac 0.7140 0.2937 0.7498  1 La 3.30, 2 Ho 3.65, 1 Ac 3.67
Ac 0.2860 0.7063 0.2502  1 La 3.30, 2 Ho 3.65, 1 Ac 3.67
Ac 0.2860 0.2937 0.2498  1 La 3.30, 2 Ho 3.65, 1 Ac 3.67
La 0.5811 0.0000 0.2500  2 Ac 3.30, 2 Ho 3.30, 2 La 3.45
La 0.4189 0.0000 0.7500  2 Ac 3.30, 2 Ho 3.30, 2 La 3.45
Pm 0.1857 0.5000 0.7500  8 Ac 3.72-4.06, 2 Pm 4.14
Pm 0.8143 0.5000 0.2500  8 Ac 3.72-4.06, 2 Pm 4.14
Ho 0.0000 0.0000 0.0000  2 Ho 3.26, 2 La 3.30, 4 Ac 3.65
Ho 0.0000 0.0000 0.5000  2 Ho 3.26, 2 La 3.30, 4 Ac 3.65

SG	Pmma (51)
formation energy	0.24	eV/atom
N(E_F)	6.7	states/eV/f.u.

***

7.
The following is a DFT calculation (PBE) of a geometry-optimized AcLa6Pm2Ho structure.

abc: 10.1232 6.8702 6.8134
angles: 120.28 112.51 90.00
With the nearest neighbours (Å) after each atom.
Fractional positions:
Ac 0.5000 0.0000 0.0000  2 Pm 3.56, 6 La 3.63-3.89
La 0.4215 0.6449 0.2898  1 Ho 3.83, 3 Ac 3.89-4.07, 3 Pm 3.90-4.03, 8 La 3.95-4.28
La 0.1676 0.0822 0.6202  2 La 3.06-3.13, 1 Pm 3.36
La 0.8324 0.4620 0.3798  2 La 3.06-3.13, 1 Pm 3.36
La 0.1676 0.5380 0.6202  2 La 3.06-3.13, 1 Pm 3.36
La 0.8324 0.9178 0.3798  2 La 3.06-3.13, 1 Pm 3.36
La 0.5785 0.3551 0.7102  1 Ho 3.83, 3 Ac 3.89-4.07, 3 Pm 3.90-4.03, 8 La 3.95-4.28
Pm 0.1895 0.0663 0.1327  4 La 3.36-3.47, 1 Pm 3.44, 1 Ac 3.56
Pm 0.8105 0.9337 0.8673  4 La 3.36-3.47, 1 Pm 3.44, 1 Ac 3.56
Ho 0.0000 0.5000 0.0000  10 La 3.70-3.83, 4 Pm 3.84

SG	C2/m (12)
formation energy	0.18	eV/atom
N(E_F)	19.1	states/eV/f.u.

***

8.
The following is a DFT calculation (PBE) of a geometry-optimized AcLa2Pr5Ho structure.

abc: 9.0906 9.0906 10.3070
angles: 116.17 116.17 90.00
With the nearest neighbours (Å) after each atom.
Fractional positions:
Ac 0.2500 0.2500 0.5000  10 Pr 3.72-4.03
Ac 0.7500 0.7500 0.5000  10 Pr 3.72-4.03
La 0.1175 0.3825 0.0000  1 La 3.02, 2 Pr 3.12
La 0.6175 0.1175 0.0000  1 La 3.02, 2 Pr 3.12
La 0.3825 0.8825 0.0000  1 La 3.02, 2 Pr 3.12
La 0.8825 0.6175 0.0000  1 La 3.02, 2 Pr 3.12
Pr 0.9260 0.4260 0.2747  1 La 3.12, 1 Ho 3.27
Pr 0.6512 0.1512 0.7253  1 La 3.12, 1 Ho 3.27
Pr 0.0740 0.5740 0.7253  1 La 3.12, 1 Ho 3.27
Pr 0.1512 0.0740 0.7253  1 La 3.12, 1 Ho 3.27
Pr 0.5740 0.6512 0.7253  1 La 3.12, 1 Ho 3.27
Pr 0.8488 0.9260 0.2747  1 La 3.12, 1 Ho 3.27
Pr 0.4260 0.3488 0.2747  1 La 3.12, 1 Ho 3.27
Pr 0.3488 0.8488 0.2747  1 La 3.12, 1 Ho 3.27
Pr 0.5000 0.5000 0.0000  4 La 3.64, 8 Pr 3.93, 2 Ac 4.03
Pr 0.0000 0.0000 0.0000  4 La 3.64, 8 Pr 3.93, 2 Ac 4.03
Ho 0.2500 0.7500 0.5000  4 Pr 3.27
Ho 0.7500 0.2500 0.5000  4 Pr 3.27

SG	I4/mcm (140)
formation energy	0.24	eV/atom
N(E_F)	14.9	states/eV/f.u.

***

9.
The following is a DFT calculation (PBE) of a geometry-optimized AcLa2PrHo5 structure.

abc: 8.8046 8.8046 10.1406
angles: 115.73 115.73 90.00
With the nearest neighbours (Å) after each atom.
Fractional positions:
Ac 0.2500 0.2500 0.5000  10 Ho 3.65-4.00
Ac 0.7500 0.7500 0.5000  10 Ho 3.65-4.00
La 0.1175 0.3825 0.0000  1 La 2.93, 2 Ho 3.05
La 0.6175 0.1175 0.0000  1 La 2.93, 2 Ho 3.05
La 0.3825 0.8825 0.0000  1 La 2.93, 2 Ho 3.05
La 0.8825 0.6175 0.0000  1 La 2.93, 2 Ho 3.05
Pr 0.2500 0.7500 0.5000  4 Ho 3.20
Pr 0.7500 0.2500 0.5000  4 Ho 3.20
Ho 0.9248 0.4248 0.2703  1 La 3.05, 1 Pr 3.20
Ho 0.6544 0.1544 0.7297  1 La 3.05, 1 Pr 3.20
Ho 0.0752 0.5752 0.7297  1 La 3.05, 1 Pr 3.20
Ho 0.1544 0.0752 0.7297  1 La 3.05, 1 Pr 3.20
Ho 0.5752 0.6544 0.7297  1 La 3.05, 1 Pr 3.20
Ho 0.8456 0.9248 0.2703  1 La 3.05, 1 Pr 3.20
Ho 0.4248 0.3456 0.2703  1 La 3.05, 1 Pr 3.20
Ho 0.3456 0.8456 0.2703  1 La 3.05, 1 Pr 3.20
Ho 0.5000 0.5000 0.0000  4 La 3.52, 8 Ho 3.82
Ho 0.0000 0.0000 0.0000  4 La 3.52, 8 Ho 3.82

SG	I4/mcm (140)
formation energy	0.24	eV/atom
N(E_F)	10.5	states/eV/f.u.

***

Copy entry 4 word for word.
The following is a DFT calculation (PBE) of a geometry-optimized Ac2LaPm4Ho structure.

abc: 10.3733 10.6603 7.5122
angles: 135.12 90.29 89.80
With the nearest neighbours (Å) after each atom.
Fractional positions:
Ac 0.5003 0.9998 0.9990  8 Pm 3.72-3.74, 2 Ac 3.76, 2 Ho 3.76
Ac 0.4994 0.0002 0.4994  4 Ac 3.76, 8 Pm 3.77-3.80
Ac 0.0006 0.9998 0.5004  8 Pm 3.71-3.73, 2 Ho 3.76, 2 La 3.76
Ac 0.4998 0.5002 0.0009  8 Pm 3.75-3.77, 2 Ho 3.75-3.76, 2 Ac 3.76
La 0.0001 0.4998 0.9991  8 Pm 3.68-3.71, 2 La 3.75-3.76, 2 Ac 3.76
La 0.9994 0.5000 0.4997  8 Pm 3.63-3.65, 2 La 3.75-3.76, 2 Ho 3.76
Pm 0.2465 0.7456 0.9878  2 La 3.64-3.71, 4 Pm 3.64-3.87, 2 Ho 3.67-3.70, 4 Ac 3.73-3.77
Pm 0.7547 0.2531 0.4965  2 La 3.65-3.68, 4 Pm 3.65-3.86, 2 Ho 3.66-3.70, 4 Ac 3.72-3.80
Pm 0.2450 0.7463 0.5037  4 Pm 3.64-3.87, 2 La 3.65-3.68, 2 Ho 3.67-3.71, 4 Ac 3.71-3.80
Pm 0.7537 0.2541 0.0112  2 La 3.63-3.71, 4 Pm 3.65-3.86, 2 Ho 3.68-3.70, 4 Ac 3.73-3.78
Pm 0.7537 0.7456 0.9888  2 La 3.64-3.69, 4 Pm 3.65-3.86, 2 Ho 3.68-3.69, 4 Ac 3.72-3.79
Pm 0.7548 0.7472 0.5038  2 La 3.64-3.70, 2 Ho 3.65-3.72, 4 Pm 3.65-3.86, 4 Ac 3.73-3.79
Pm 0.2453 0.2535 0.4961  4 Pm 3.64-3.87, 2 La 3.64-3.69, 2 Ho 3.65-3.72, 4 Ac 3.73-3.78
Pm 0.2462 0.2546 0.0125  4 Pm 3.64-3.87, 2 La 3.64-3.70, 2 Ho 3.69, 4 Ac 3.72-3.79
Ho 0.5004 0.4999 0.5004  8 Pm 3.68-3.72, 4 Ac 3.75-3.76
Ho 0.9998 0.0001 0.0006  8 Pm 3.65-3.69, 2 Ac 3.76, 2 La 3.76

SG	P1 (1)
formation energy	0.03	eV/atom
N(E_F)	12.4	states/eV/f.u.